<a>
VASP calculation (PBE-GGA) on RbP2ICl after structural relaxation. Values from VASP.

The structure in Quantum ESPRESSO input format:
```
&SYSTEM
  ibrav = 0, nat = 5, ntyp = 4
/
ATOMIC_SPECIES
I 126.90 I.upf
P 30.97 P.upf
Rb 85.47 Rb.upf
Cl 35.45 Cl.upf
CELL_PARAMETERS angstrom
5.089 0.000 0.000
0.000 5.089 0.000
0.000 0.000 7.191
ATOMIC_POSITIONS crystal
I 0.000 0.000 0.000
P 0.000 0.500 0.000
P 0.500 0.000 0.000
Rb 0.500 0.500 0.500
Cl 0.000 0.000 0.500
```



<b>
VASP calculation (PBE-GGA) on RbP2ICl after structural relaxation. Values from VASP.

The structure in Quantum ESPRESSO input format:
```
&SYSTEM
  ibrav = 0, nat = 5, ntyp = 4
/
ATOMIC_SPECIES
I 126.90 I.upf
P 30.97 P.upf
Rb 85.47 Rb.upf
Cl 35.45 Cl.upf
CELL_PARAMETERS angstrom
7.197 0.000 0.000
0.000 7.197 0.000
0.000 0.000 5.935
ATOMIC_POSITIONS crystal
I 0.500 0.500 0.500
P 0.000 0.500 0.000
P 0.500 0.000 0.000
Rb 0.000 0.000 0.000
Cl 0.000 0.000 0.500
```



Quick one: least stable of them? <b>



<a>
VASP calculation (PBE-GGA) on ReP2ICl after structural relaxation. Values from VASP.

The structure in Quantum ESPRESSO input format:
```
&SYSTEM
  ibrav = 0, nat = 5, ntyp = 4
/
ATOMIC_SPECIES
I 126.90 I.upf
Re 186.21 Re.upf
P 30.97 P.upf
Cl 35.45 Cl.upf
CELL_PARAMETERS angstrom
-1.349 0.004 -4.493
-0.666 -4.639 0.196
-4.643 0.726 1.394
ATOMIC_POSITIONS crystal
I 0.500 0.500 0.500
Re 0.000 0.000 0.000
P 0.000 0.500 0.000
P 0.500 0.000 0.000
Cl 0.000 0.000 0.500
```



<b>
VASP calculation (PBE-GGA) on ReP2ICl after structural relaxation. Values from VASP.

The structure in Quantum ESPRESSO input format:
```
&SYSTEM
  ibrav = 0, nat = 5, ntyp = 4
/
ATOMIC_SPECIES
I 126.90 I.upf
Re 186.21 Re.upf
P 30.97 P.upf
Cl 35.45 Cl.upf
CELL_PARAMETERS angstrom
-2.731 1.864 4.019
-4.413 -1.559 -2.276
0.385 -4.558 2.375
ATOMIC_POSITIONS crystal
I 0.000 0.000 0.000
Re 0.500 0.500 0.500
P 0.000 0.500 0.000
P 0.500 0.000 0.000
Cl 0.000 0.000 0.500
```



Quick one: least stable of them? <b>